(1)
Below is an optimized crystal structure of PrAlGaPt2, with properties calculated at the PBE level.

Computed properties:
energy	-57.76	eV/cell
total moment	0.0005	μB/atom

Unit cell a=4.4131 b=4.4131 c=10.0414 alpha=90.00 beta=90.00 gamma=90.00
Last column: nearest neighbours and their distance in Å.
Sites, in units of the cell vectors:
Al 0.0000 0.5000 0.1229  5 Pt 2.45-2.53
Al 0.5000 0.0000 0.8771  5 Pt 2.45-2.53
Ga 0.0000 0.0000 0.5000  4 Pt 2.58
Ga 0.5000 0.5000 0.5000  4 Pt 2.58
Pr 0.5000 0.0000 0.2521  4 Ga 3.33, 8 Pt 3.33-3.36, 4 Al 3.38
Pr 0.0000 0.5000 0.7479  4 Ga 3.33, 8 Pt 3.33-3.36, 4 Al 3.38
Pt 0.0000 0.0000 0.0000  4 Al 2.53
Pt 0.5000 0.5000 0.0000  4 Al 2.53
Pt 0.0000 0.5000 0.3673  1 Al 2.45, 4 Ga 2.58
Pt 0.5000 0.0000 0.6327  1 Al 2.45, 4 Ga 2.58

(2)
Below is an optimized crystal structure of CdP2O6, with properties calculated at the PBE level.

Computed properties:
energy	-236.00	eV/cell

Unit cell a=7.3388 b=7.3471 c=8.4886 alpha=90.00 beta=90.00 gamma=90.00
Last column: nearest neighbours and their distance in Å.
Sites, in units of the cell vectors:
Cd 0.3903 0.7726 0.0477  6 O 2.21-2.40
Cd 0.6097 0.2726 0.4523  6 O 2.21-2.40
Cd 0.1097 0.2274 0.5477  6 O 2.21-2.40
Cd 0.8903 0.7274 0.9523  6 O 2.21-2.40
O 0.6697 0.9340 0.0467  1 P 1.51
O 0.1007 0.9238 0.0614  1 P 1.51
O 0.1946 0.2585 0.0745  2 P 1.60
O 0.8845 0.1713 0.1593  2 P 1.59-1.60
O 0.8446 0.5818 0.1772  1 P 1.48
O 0.5536 0.2136 0.2014  1 P 1.49
O 0.4464 0.7136 0.2986  1 P 1.49
O 0.1554 0.0818 0.3228  1 P 1.48
O 0.1155 0.6713 0.3407  2 P 1.59-1.60
O 0.8054 0.7585 0.4255  2 P 1.60
O 0.8993 0.4238 0.4386  1 P 1.51
O 0.3303 0.4340 0.4533  1 P 1.51
O 0.8303 0.0660 0.5466  1 P 1.51
O 0.3993 0.0762 0.5614  1 P 1.51
O 0.3054 0.7415 0.5745  2 P 1.60
O 0.6155 0.8287 0.6593  2 P 1.59-1.60
O 0.6554 0.4182 0.6772  1 P 1.48
O 0.9464 0.7864 0.7014  1 P 1.49
O 0.0536 0.2864 0.7986  1 P 1.49
O 0.3446 0.9182 0.8228  1 P 1.48
O 0.3845 0.3287 0.8407  2 P 1.59-1.60
O 0.6946 0.2415 0.9255  2 P 1.60
O 0.6007 0.5762 0.9386  1 P 1.51
O 0.1697 0.5660 0.9534  1 P 1.51
P 0.6874 0.1328 0.0886  4 O 1.49-1.60
P 0.0883 0.0947 0.1586  4 O 1.48-1.60
P 0.9117 0.5947 0.3414  4 O 1.48-1.60
P 0.3126 0.6328 0.4114  4 O 1.49-1.60
P 0.8126 0.8672 0.5886  4 O 1.49-1.60
P 0.4117 0.9053 0.6586  4 O 1.48-1.60
P 0.5883 0.4053 0.8414  4 O 1.48-1.60
P 0.1874 0.3672 0.9114  4 O 1.49-1.60

(3)
Below is an optimized crystal structure of Nd3Sb5O12, with properties calculated at the PBE level.

Computed properties:
energy	-275.99	eV/cell
total moment	0.0000	μB/atom

Unit cell a=9.4935 b=9.4935 c=9.4935 alpha=109.47 beta=109.47 gamma=109.47
Last column: nearest neighbours and their distance in Å.
Sites, in units of the cell vectors:
Nd 0.7500 0.5000 0.2500  4 O 2.33
Nd 0.5000 0.7500 0.2500  4 O 2.33
Nd 0.7500 0.2500 0.5000  4 O 2.33
Nd 0.2500 0.7500 0.5000  4 O 2.33
Nd 0.5000 0.2500 0.7500  4 O 2.33
Nd 0.2500 0.5000 0.7500  4 O 2.33
O 0.4875 0.2869 0.0000  1 Sb 1.98
O 0.2869 0.4875 0.0000  1 Sb 1.98
O 0.8027 0.5279 0.0000  2 Sb 2.03-2.23
O 0.5279 0.8027 0.0000  2 Sb 2.03-2.23
O 0.7252 0.1973 0.1973  2 Sb 2.03-2.23
O 0.1973 0.7252 0.1973  2 Sb 2.03-2.23
O 0.7131 0.7131 0.2007  1 Sb 1.98
O 0.4721 0.4721 0.2748  2 Sb 2.03-2.23
O 0.4875 0.0000 0.2869  1 Sb 1.98
O 0.0000 0.4875 0.2869  1 Sb 1.98
O 0.4721 0.2748 0.4721  2 Sb 2.03-2.23
O 0.2748 0.4721 0.4721  2 Sb 2.03-2.23
O 0.2869 0.0000 0.4875  1 Sb 1.98
O 0.0000 0.2869 0.4875  1 Sb 1.98
O 0.7993 0.5125 0.5125  1 Sb 1.98
O 0.5125 0.7993 0.5125  1 Sb 1.98
O 0.8027 0.0000 0.5279  2 Sb 2.03-2.23
O 0.0000 0.8027 0.5279  2 Sb 2.03-2.23
O 0.7131 0.2007 0.7131  1 Sb 1.98
O 0.2007 0.7131 0.7131  1 Sb 1.98
O 0.1973 0.1973 0.7252  2 Sb 2.03-2.23
O 0.5125 0.5125 0.7993  1 Sb 1.98
O 0.5279 0.0000 0.8027  2 Sb 2.03-2.23
O 0.0000 0.5279 0.8027  2 Sb 2.03-2.23
Sb 0.4880 0.0000 0.0000  3 O 2.03
Sb 0.2751 0.2751 0.0000  2 O 1.98
Sb 0.0000 0.4880 0.0000  3 O 2.03
Sb 0.7249 0.7249 0.0000  2 O 1.98
Sb 0.2751 0.0000 0.2751  2 O 1.98
Sb 0.0000 0.2751 0.2751  2 O 1.98
Sb 0.0000 0.0000 0.4880  3 O 2.03
Sb 0.5120 0.5120 0.5120  3 O 2.03
Sb 0.7249 0.0000 0.7249  2 O 1.98
Sb 0.0000 0.7249 0.7249  2 O 1.98

(4)
Below is an optimized crystal structure of KLuSeO, with properties calculated at the PBE level.

Computed properties:
energy	-92.74	eV/cell
total moment	0.0000	μB/atom

Unit cell a=7.7624 b=7.2299 c=6.3388 alpha=90.00 beta=99.20 gamma=90.00
Last column: nearest neighbours and their distance in Å.
Sites, in units of the cell vectors:
K 0.9066 0.2901 0.0198  1 O 2.66
K 0.0934 0.7901 0.4802  1 O 2.66
K 0.9066 0.2099 0.5198  1 O 2.66
K 0.0934 0.7099 0.9802  1 O 2.66
Lu 0.5249 0.6267 0.2221  3 O 2.16-2.20
Lu 0.4751 0.1267 0.2779  3 O 2.16-2.20
Lu 0.5249 0.8733 0.7221  3 O 2.16-2.20
Lu 0.4751 0.3733 0.7779  3 O 2.16-2.20
O 0.5891 0.3511 0.1113  3 Lu 2.16-2.20
O 0.4109 0.8511 0.3887  3 Lu 2.16-2.20
O 0.5891 0.1489 0.6113  3 Lu 2.16-2.20
O 0.4109 0.6489 0.8887  3 Lu 2.16-2.20
Se 0.7558 0.9094 0.1315  3 Lu 2.84-2.95, 1 K 3.12
Se 0.2442 0.4094 0.3685  3 Lu 2.84-2.95, 1 K 3.12
Se 0.7558 0.5906 0.6315  3 Lu 2.84-2.95, 1 K 3.12
Se 0.2442 0.0906 0.8685  3 Lu 2.84-2.95, 1 K 3.12

(5)
Below is an optimized crystal structure of Li2FeB, with properties calculated at the PBE level.

Computed properties:
energy	-17.56	eV/cell
total moment	0.3157	μB/atom

Unit cell a=3.7210 b=3.7210 c=3.7210 alpha=60.00 beta=60.00 gamma=60.00
Last column: nearest neighbours and their distance in Å.
Sites, in units of the cell vectors:
B 0.0000 0.0000 0.0000  4 Fe 2.28, 4 Li 2.28
Fe 0.2500 0.2500 0.2500  4 B 2.28, 4 Li 2.28
Li 0.5000 0.5000 0.5000  4 Fe 2.28, 4 Li 2.28
Li 0.7500 0.7500 0.7500  4 B 2.28, 4 Li 2.28

(6)
Below is an optimized crystal structure of Nd3In3PdPt2, with properties calculated at the PBE level.

Computed properties:
energy	-48.04	eV/cell
total moment	0.0099	μB/atom

Unit cell a=7.7809 b=7.7809 c=4.0227 alpha=90.00 beta=90.00 gamma=120.00
Last column: nearest neighbours and their distance in Å.
Sites, in units of the cell vectors:
In 0.2524 0.0000 0.0000  2 Pd 2.81, 2 Pt 2.96
In 0.0000 0.2524 0.0000  2 Pd 2.81, 2 Pt 2.96
In 0.7476 0.7476 0.0000  2 Pd 2.81, 2 Pt 2.96
Nd 0.5864 0.0000 0.5000  4 Pt 3.09, 1 Pd 3.22, 6 In 3.29-3.46
Nd 0.4136 0.4136 0.5000  4 Pt 3.09, 1 Pd 3.22, 6 In 3.29-3.46
Nd 0.0000 0.5864 0.5000  4 Pt 3.09, 1 Pd 3.22, 6 In 3.29-3.46
Pd 0.0000 0.0000 0.5000  6 In 2.81
Pt 0.6667 0.3333 0.0000  3 In 2.96, 6 Nd 3.09
Pt 0.3333 0.6667 0.0000  3 In 2.96, 6 Nd 3.09

(7)
Below is an optimized crystal structure of SmNbNO, with properties calculated at the PBE level.

Computed properties:
energy	-69.76	eV/cell
total moment	0.0006	μB/atom

Unit cell a=4.0191 b=4.0191 c=8.2895 alpha=90.00 beta=90.00 gamma=90.00
Last column: nearest neighbours and their distance in Å.
Sites, in units of the cell vectors:
N 0.7500 0.7500 0.4148  4 Nb 2.13
N 0.2500 0.2500 0.5852  4 Nb 2.13
Nb 0.7500 0.2500 0.5000  4 N 2.13
Nb 0.2500 0.7500 0.5000  4 N 2.13
O 0.7500 0.2500 0.0000  4 Sm 2.30
O 0.2500 0.7500 0.0000  4 Sm 2.30
Sm 0.2500 0.2500 0.1345  4 O 2.30
Sm 0.7500 0.7500 0.8655  4 O 2.30

(8)
Below is an optimized crystal structure of LuHgSb, with properties calculated at the PBE level.

Computed properties:
energy	-9.44	eV/cell
total moment	0.0013	μB/atom

Unit cell a=4.9534 b=4.9534 c=4.9534 alpha=60.00 beta=60.00 gamma=60.00
Last column: nearest neighbours and their distance in Å.
Sites, in units of the cell vectors:
Hg 0.0000 0.0000 0.0000  4 Sb 3.03, 4 Lu 3.03
Lu 0.2500 0.2500 0.2500  4 Hg 3.03
Sb 0.7500 0.7500 0.7500  4 Hg 3.03

(9)
Below is an optimized crystal structure of Al2MoOs, with properties calculated at the PBE level.

Computed properties:
energy	-29.98	eV/cell
total moment	0.0001	μB/atom

Unit cell a=4.3686 b=4.3686 c=4.3686 alpha=60.00 beta=60.00 gamma=60.00
Last column: nearest neighbours and their distance in Å.
Sites, in units of the cell vectors:
Al 0.0000 0.0000 0.0000  4 Os 2.68, 4 Al 2.68
Al 0.2500 0.2500 0.2500  4 Mo 2.68, 4 Al 2.68
Mo 0.5000 0.5000 0.5000  4 Os 2.68, 4 Al 2.68
Os 0.7500 0.7500 0.7500  4 Mo 2.68, 4 Al 2.68

(10)
Below is an optimized crystal structure of Hf2TaBe, with properties calculated at the PBE level.

Computed properties:
energy	-34.17	eV/cell
total moment	0.0049	μB/atom

Unit cell a=4.6509 b=4.6509 c=4.6509 alpha=60.00 beta=60.00 gamma=60.00
Last column: nearest neighbours and their distance in Å.
Sites, in units of the cell vectors:
Be 0.5000 0.5000 0.5000  4 Hf 2.85, 4 Ta 2.85
Hf 0.0000 0.0000 0.0000  4 Hf 2.85, 4 Ta 2.85
Hf 0.7500 0.7500 0.7500  4 Be 2.85, 4 Hf 2.85
Ta 0.2500 0.2500 0.2500  4 Be 2.85, 4 Hf 2.85

(11)
Below is an optimized crystal structure of NaTaReSb, with properties calculated at the PBE level.

Computed properties:
energy	-27.59	eV/cell
total moment	0.0005	μB/atom

Unit cell a=4.6678 b=4.6678 c=4.6678 alpha=60.00 beta=60.00 gamma=60.00
Last column: nearest neighbours and their distance in Å.
Sites, in units of the cell vectors:
Na 0.7500 0.7500 0.7500  4 Sb 2.86, 4 Re 2.86
Re 0.5000 0.5000 0.5000  4 Ta 2.86, 4 Na 2.86
Sb 0.0000 0.0000 0.0000  4 Na 2.86, 4 Ta 2.86
Ta 0.2500 0.2500 0.2500  4 Re 2.86, 4 Sb 2.86